Compound: Hf3In3Ag2
Source: the Alexandria database
Functional: PBE
Structure: optimized geometry

Unit cell a=8.877 b=8.877 c=8.877 alpha=150.99 beta=150.80 gamma=41.63
Fractional coordinates of all 8 atoms:
Hf 0.000 0.000 0.000
Hf 0.131 0.631 0.500
Hf 0.869 0.369 0.500
In 0.366 0.866 0.500
In 0.500 0.500 0.000
In 0.634 0.134 0.500
Ag 0.250 0.250 0.000
Ag 0.750 0.750 0.000



Compound: HfInAg3
Source: the Alexandria database
Functional: PBE
Structure: optimized geometry

Unit cell a=5.001 b=5.001 c=5.001 alpha=90.00 beta=90.00 gamma=90.00
Fractional coordinates of all 5 atoms:
Hf 0.000 0.000 0.000
In 0.500 0.500 0.500
Ag 0.000 0.500 0.500
Ag 0.500 0.000 0.500
Ag 0.500 0.500 0.000

Results
- distance to the lowest polymorph of the same formula (meV per atom) = 0



Compound: Hf5In4Ag
Source: the Alexandria database
Functional: PBE
Structure: optimized geometry

Unit cell a=3.110 b=3.110 c=21.920 alpha=90.00 beta=90.00 gamma=90.00
Fractional coordinates of all 10 atoms:
Hf 0.000 0.000 0.000
Hf 0.000 0.000 0.204
Hf 0.000 0.000 0.406
Hf 0.000 0.000 0.594
Hf 0.000 0.000 0.796
In 0.500 0.500 0.102
In 0.500 0.500 0.305
In 0.500 0.500 0.695
In 0.500 0.500 0.898
Ag 0.500 0.500 0.500



no.,energy of formation (meV per atom),total DFT energy (no corrections) (eV per cell)
1,-88,-44.5
2,948,-16.5
3,-110,-64.7